[1]
Compound: TlSiAs2
Source: Alexandria via LeMat-Bulk
Functional: GGA-PBE
Structure: relaxed

Properties
DOS(E_F) ... 0.342 states/eV per atom
Raw total energy ... -3.81 eV/atom
E_form (uncorrected) ... 1.8 eV/f.u.

a b c (Å): 3.140 3.140 9.257
angles (deg): 90.00 90.00 104.55
Fractional coordinates of all 4 atoms:
As  0.000  0.000  0.024
As  0.500  0.500  0.278
Si  0.000  0.000  0.451
Tl  0.500  0.500  0.747

[2]
Compound: TlSiAs2
Source: Alexandria via LeMat-Bulk
Functional: GGA-PBE
Structure: relaxed

Properties
DOS(E_F) ... 0.229 states/eV per atom
Raw total energy ... -3.97 eV/atom
E_form (uncorrected) ... 1.2 eV/f.u.

a b c (Å): 3.705 3.705 6.975
angles (deg): 90.00 90.00 90.00
Fractional coordinates of all 4 atoms:
As  0.500  0.500  0.244
As  0.000  0.000  0.099
Si  0.000  0.000  0.440
Tl  0.500  0.500  0.716

[3]
Compound: TlSiAs2
Source: Alexandria via LeMat-Bulk
Functional: GGA-PBE
Structure: relaxed

Properties
DOS(E_F) ... 0.666 states/eV per atom
Raw total energy ... -4.18 eV/atom
E_form (uncorrected) ... 0.4 eV/f.u.

a b c (Å): 6.693 6.693 6.715
angles (deg): 60.11 60.11 90.00
Fractional coordinates of all 8 atoms:
As  0.557  0.125  0.250
As  0.193  0.625  0.250
As  0.875  0.807  0.750
As  0.375  0.443  0.750
Si  0.500  0.500  0.000
Si  0.250  0.750  0.500
Tl  0.000  0.000  0.000
Tl  0.750  0.250  0.500

[4]
Compound: TlSiAs2
Source: Alexandria via LeMat-Bulk
Functional: GGA-PBE
Structure: relaxed

Properties
DOS(E_F) ... 0.246 states/eV per atom
Raw total energy ... -4.20 eV/atom
E_form (uncorrected) ... 0.3 eV/f.u.

a b c (Å): 3.658 3.562 8.334
angles (deg): 77.68 90.00 90.00
Fractional coordinates of all 4 atoms:
Tl  0.500  0.667  0.791
Si  0.000  0.443  0.239
As  0.500  0.350  0.425
As  0.000  0.040  0.045

[5]
Compound: TlSiAs2
Source: Alexandria via LeMat-Bulk
Functional: GGA-PBE
Structure: relaxed

Properties
DOS(E_F) ... 0.573 states/eV per atom
Raw total energy ... -3.73 eV/atom
E_form (uncorrected) ... 2.2 eV/f.u.

a b c (Å): 4.932 4.932 4.932
angles (deg): 60.00 60.00 60.00
Fractional coordinates of all 4 atoms:
As  0.250  0.250  0.250
As  0.750  0.750  0.750
Tl  0.500  0.500  0.500
Si  0.000  0.000  0.000

[6]
Compound: TlSiAs2
Source: Alexandria via LeMat-Bulk
Functional: GGA-PBE
Structure: relaxed

Properties
DOS(E_F) ... 0.529 states/eV per atom
Raw total energy ... -3.82 eV/atom
E_form (uncorrected) ... 1.8 eV/f.u.

a b c (Å): 5.771 5.771 5.771
angles (deg): 144.95 126.91 65.22
Fractional coordinates of all 4 atoms:
As  0.735  0.235  0.500
As  0.963  0.963  0.000
Si  0.542  0.542  0.000
Tl  0.260  0.760  0.500

[7]
Compound: TlSiAs2
Source: Alexandria via LeMat-Bulk
Functional: GGA-PBE
Structure: relaxed

Properties
DOS(E_F) ... 0.516 states/eV per atom
Raw total energy ... -3.73 eV/atom
E_form (uncorrected) ... 2.2 eV/f.u.

a b c (Å): 4.912 4.912 4.912
angles (deg): 60.00 60.00 60.00
Fractional coordinates of all 4 atoms:
As  0.000  0.000  0.000
As  0.250  0.250  0.250
Si  0.500  0.500  0.500
Tl  0.750  0.750  0.750

[8]
Compound: TlSiAs2
Source: Alexandria via LeMat-Bulk
Functional: GGA-PBE
Structure: relaxed

Properties
DOS(E_F) ... 0.607 states/eV per atom
Raw total energy ... -3.92 eV/atom
E_form (uncorrected) ... 1.4 eV/f.u.

a b c (Å): 3.227 3.227 9.147
angles (deg): 90.00 90.00 112.98
Fractional coordinates of all 4 atoms:
As  0.000  0.000  0.054
As  0.000  0.000  0.446
Si  0.500  0.500  0.250
Tl  0.500  0.500  0.750